Record 1
{
  "formula": "NdTh2MnN4",
  "functional": "PBE-GGA",
  "state": "relaxed",
  "lattice": [[1.802, -5.929, 0.000], [1.802, 5.929, 0.000], [0.000, 0.000, 12.081]],
  "species": ["Nd", "Nd", "Th", "Th", "Th", "Th", "Mn", "Mn", "N", "N", "N", "N", "N", "N", "N", "N"],
  "fractional_positions": [[0.099, 0.901, 0.750], [0.901, 0.099, 0.250], [0.369, 0.631, 0.555], [0.369, 0.631, 0.945], [0.631, 0.369, 0.055], [0.631, 0.369, 0.445], [0.168, 0.832, 0.250], [0.832, 0.168, 0.750], [0.000, 0.000, 0.000], [0.000, 0.000, 0.500], [0.269, 0.731, 0.121], [0.269, 0.731, 0.379], [0.444, 0.556, 0.750], [0.556, 0.444, 0.250], [0.731, 0.269, 0.621], [0.731, 0.269, 0.879]],
  "density_g_cm3": 9.25,
  "total_energy_ev_per_cell": -142.7,
  "crystal_system": "orthorhombic"
}

=====

Record 2
{
  "formula": "Pm4Se3F4",
  "functional": "PBE-GGA",
  "state": "relaxed",
  "lattice": [[-1.898, 4.051, 6.970], [1.898, -4.051, 6.970], [1.898, 4.051, -6.970]],
  "species": ["Pm", "Pm", "Pm", "Pm", "Se", "Se", "Se", "F", "F", "F", "F"],
  "fractional_positions": [[0.218, 0.218, 0.000], [0.281, 0.500, 0.781], [0.719, 0.500, 0.219], [0.782, 0.782, 0.000], [0.000, 0.000, 0.000], [0.383, 0.883, 0.500], [0.617, 0.117, 0.500], [0.002, 0.676, 0.326], [0.350, 0.676, 0.674], [0.650, 0.324, 0.326], [0.998, 0.324, 0.674]],
  "density_g_cm3": 6.92,
  "total_energy_ev_per_cell": -67.7,
  "crystal_system": "orthorhombic"
}